(1)
A plane-wave DFT calculation with GGA-PBE was carried out for a geometry-optimized PuTl2O7 structure.

Cell: 7.242 7.242 9.236 Å, 57.96 57.96 51.71°
Fractional coordinates of all 20 atoms:
O (0.470, 0.530, 0.250)
O (0.774, 0.111, 0.983)
O (0.234, 0.051, 0.636)
O (0.949, 0.766, 0.864)
O (0.519, 0.111, 0.770)
O (0.889, 0.226, 0.517)
O (0.766, 0.949, 0.364)
O (0.226, 0.889, 0.017)
O (0.530, 0.470, 0.750)
O (0.051, 0.234, 0.136)
O (0.111, 0.519, 0.270)
O (0.889, 0.481, 0.730)
O (0.111, 0.774, 0.483)
O (0.481, 0.889, 0.230)
Tl (0.583, 0.831, 0.694)
Tl (0.169, 0.417, 0.806)
Tl (0.417, 0.169, 0.306)
Tl (0.831, 0.583, 0.194)
Pu (0.841, 0.159, 0.750)
Pu (0.159, 0.841, 0.250)

Calculated values
formation energy without anion corrections: -1.09 eV per atom



(2)
A plane-wave DFT calculation with GGA-PBE was carried out for a geometry-optimized TmPuTlO6 structure.

Cell: 5.752 5.752 9.758 Å, 90.00 90.00 120.00°
Fractional coordinates of all 18 atoms:
Tl (0.000, 0.000, 0.000)
Tl (0.000, 0.000, 0.500)
O (0.377, 0.027, 0.139)
O (0.350, 0.377, 0.861)
O (0.350, 0.973, 0.639)
O (0.027, 0.377, 0.639)
O (0.027, 0.650, 0.861)
O (0.650, 0.027, 0.361)
O (0.650, 0.623, 0.139)
O (0.377, 0.350, 0.361)
O (0.623, 0.973, 0.861)
O (0.973, 0.623, 0.361)
O (0.973, 0.350, 0.139)
O (0.623, 0.650, 0.639)
Tm (0.667, 0.333, 0.750)
Tm (0.333, 0.667, 0.250)
Pu (0.333, 0.667, 0.750)
Pu (0.667, 0.333, 0.250)

Calculated values
formation energy without anion corrections: -2.25 eV per atom
DOS(E_F): 4.9 states/eV per cell



(3)
A plane-wave DFT calculation with GGA-PBE was carried out for a geometry-optimized TmPu3Tl2O12 structure.

Cell: 7.781 7.781 7.781 Å, 61.99 61.99 61.99°
Fractional coordinates of all 18 atoms:
O (0.066, 0.668, 0.066)
O (0.050, 0.691, 0.691)
O (0.691, 0.050, 0.691)
O (0.066, 0.066, 0.668)
O (0.950, 0.309, 0.309)
O (0.934, 0.934, 0.332)
O (0.309, 0.950, 0.309)
O (0.691, 0.691, 0.050)
O (0.934, 0.332, 0.934)
O (0.332, 0.934, 0.934)
O (0.309, 0.309, 0.950)
O (0.668, 0.066, 0.066)
Tm (0.000, 0.000, 0.000)
Pu (0.500, 0.000, 0.000)
Pu (0.000, 0.500, 0.000)
Pu (0.000, 0.000, 0.500)
Tl (0.676, 0.676, 0.676)
Tl (0.324, 0.324, 0.324)

Calculated values
formation energy without anion corrections: -2.34 eV per atom
DOS(E_F): 7.7 states/eV per cell



(4)
A plane-wave DFT calculation with GGA-PBE was carried out for a geometry-optimized TmPuTl2O8 structure.

Cell: 5.220 5.214 6.752 Å, 90.00 90.00 92.85°
Fractional coordinates of all 12 atoms:
Tl (0.500, 0.500, 0.746)
Tl (0.500, 0.500, 0.254)
Pu (0.000, 0.000, 0.000)
O (0.704, 0.705, 0.000)
O (0.171, 0.828, 0.778)
O (0.171, 0.828, 0.222)
O (0.829, 0.172, 0.778)
O (0.301, 0.301, 0.500)
O (0.829, 0.172, 0.222)
O (0.296, 0.295, 0.000)
O (0.699, 0.699, 0.500)
Tm (0.000, 0.000, 0.500)

Calculated values
formation energy without anion corrections: -1.85 eV per atom
DOS(E_F): 0.3 states/eV per cell



(5)
A plane-wave DFT calculation with GGA-PBE was carried out for a geometry-optimized PuU3Tl4O12 structure.

Cell: 7.547 7.547 7.547 Å, 109.47 109.47 109.47°
Fractional coordinates of all 20 atoms:
O (0.000, 0.261, 0.261)
O (0.261, 0.000, 0.261)
O (0.750, 0.250, 0.500)
O (0.500, 0.750, 0.250)
O (0.739, 0.739, 0.000)
O (0.739, 0.000, 0.739)
O (0.261, 0.261, 0.000)
O (0.500, 0.250, 0.750)
O (0.000, 0.739, 0.739)
O (0.250, 0.750, 0.500)
O (0.750, 0.500, 0.250)
O (0.250, 0.500, 0.750)
Tl (0.500, 0.000, 0.000)
Tl (0.000, 0.000, 0.500)
Tl (0.000, 0.500, 0.000)
Tl (0.500, 0.500, 0.500)
U (0.500, 0.500, 0.000)
U (0.000, 0.500, 0.500)
U (0.500, 0.000, 0.500)
Pu (0.000, 0.000, 0.000)

Calculated values
formation energy without anion corrections: -2.45 eV per atom
DOS(E_F): 13.9 states/eV per cell



(6)
A plane-wave DFT calculation with GGA-PBE was carried out for a geometry-optimized PuU3Tl2O12 structure.

Cell: 7.954 7.954 7.954 Å, 60.82 60.82 60.82°
Fractional coordinates of all 18 atoms:
O (0.935, 0.935, 0.326)
O (0.065, 0.065, 0.674)
O (0.065, 0.674, 0.065)
O (0.690, 0.050, 0.690)
O (0.310, 0.950, 0.310)
O (0.050, 0.690, 0.690)
O (0.690, 0.690, 0.050)
O (0.950, 0.310, 0.310)
O (0.326, 0.935, 0.935)
O (0.310, 0.310, 0.950)
O (0.935, 0.326, 0.935)
O (0.674, 0.065, 0.065)
U (0.000, 0.000, 0.500)
U (0.000, 0.500, 0.000)
U (0.500, 0.000, 0.000)
Tl (0.322, 0.322, 0.322)
Tl (0.678, 0.678, 0.678)
Pu (0.000, 0.000, 0.000)

Calculated values
formation energy without anion corrections: -2.70 eV per atom
DOS(E_F): 9.7 states/eV per cell